Entry 1:
The following is a DFT calculation (PBE+U) of a relaxed structure of BaCaNiF2.

## Properties
Its space-group type is P4/mmm.

Lattice parameters (Å, degrees): 5.0373 5.0373 4.5101 90.00 90.00 90.00
With the nearest neighbours (Å) after each atom.
Positions (direct):
Ba (0.0000, 0.0000, 0.0000)  8 F 3.38, 4 Ca 3.56
Ca (0.5000, 0.5000, 0.0000)  2 Ni 2.26
Ni (0.5000, 0.5000, 0.5000)  2 Ca 2.26, 4 F 2.52
F (0.0000, 0.5000, 0.5000)  2 Ni 2.52
F (0.5000, 0.0000, 0.5000)  2 Ni 2.52



Entry 2:
The following is a DFT calculation (PBE+U) of a relaxed structure of Ba2CaNi3F12.

## Properties
Its space-group type is R-3m.

Lattice parameters (Å, degrees): 7.0701 7.0701 7.0701 62.14 62.14 62.14
With the nearest neighbours (Å) after each atom.
Positions (direct):
Ba (0.1129, 0.1129, 0.1129)  3 F 2.56
Ba (0.8871, 0.8871, 0.8871)  3 F 2.56
Ca (0.5000, 0.5000, 0.5000)  6 F 2.46
Ni (0.0000, 0.5000, 0.5000)  6 F 1.99-2.04
Ni (0.5000, 0.0000, 0.5000)  6 F 1.99-2.04
Ni (0.5000, 0.5000, 0.0000)  6 F 1.99-2.04
F (0.0848, 0.6362, 0.6362)  1 Ni 2.04
F (0.2202, 0.2202, 0.6329)  2 Ni 1.99
F (0.2202, 0.6329, 0.2202)  2 Ni 1.99
F (0.3638, 0.3638, 0.9152)  1 Ni 2.04
F (0.3638, 0.9152, 0.3638)  1 Ni 2.04
F (0.3671, 0.7798, 0.7798)  2 Ni 1.99
F (0.6329, 0.2202, 0.2202)  2 Ni 1.99
F (0.6362, 0.0848, 0.6362)  1 Ni 2.04
F (0.6362, 0.6362, 0.0848)  1 Ni 2.04
F (0.7798, 0.3671, 0.7798)  2 Ni 1.99
F (0.7798, 0.7798, 0.3671)  2 Ni 1.99
F (0.9152, 0.3638, 0.3638)  1 Ni 2.04



Entry 3:
The following is a DFT calculation (PBE+U) of a relaxed structure of BaCa2NiF8.

## Properties
Its space-group type is P-1.

Lattice parameters (Å, degrees): 4.8209 5.3832 7.3725 89.87 89.89 89.65
With the nearest neighbours (Å) after each atom.
Positions (direct):
Ba (0.0000, 0.0000, 0.0000)  6 F 2.57-2.60
Ca (0.4992, 0.4993, 0.2698)  6 F 2.26-2.36
Ca (0.5008, 0.5007, 0.7302)  6 F 2.26-2.36
Ni (0.0000, 0.0000, 0.5000)  6 F 2.05-2.10
F (0.1420, 0.7709, 0.7031)  1 Ni 2.05, 1 Ca 2.26
F (0.1448, 0.7736, 0.2974)  1 Ni 2.05, 1 Ca 2.26
F (0.3275, 0.2567, 0.5010)  1 Ni 2.10, 2 Ca 2.30
F (0.4350, 0.2722, 0.0003)  2 Ca 2.36, 1 F 2.54, 1 Ba 2.57
F (0.5650, 0.7278, 0.9997)  2 Ca 2.36, 1 F 2.54, 1 Ba 2.57
F (0.6725, 0.7433, 0.4990)  1 Ni 2.10, 2 Ca 2.30
F (0.8552, 0.2264, 0.7026)  1 Ni 2.05, 1 Ca 2.26
F (0.8580, 0.2291, 0.2969)  1 Ni 2.05, 1 Ca 2.26



Let's list total DFT energy (no corrections) in order: -2.75, -4.97, -5.35 eV/atom.